# AcPbSe2

A geometry-optimized AcPbSe2 structure (PBE, Alexandria via LeMat-Bulk).

Cell: 5.2592 5.2592 3.9808 Å, 90.00 90.00 90.00°
Space group P4/mmm (No. 123)
Unique sites:
Ac 0.0000 0.0000 0.0000 [1 per cell]
Pb 0.5000 0.5000 0.0000 [1 per cell]
Se 0.0000 0.5000 0.5000 [2 per cell]

# Ac5Pb4Se

A geometry-optimized Ac5Pb4Se structure (PBE, Alexandria via LeMat-Bulk).

Cell: 10.7173 10.7173 6.7870 Å, 90.00 90.00 90.00°
Space group I4/m (No. 87)
Unique sites:
Ac 0.0000 0.0000 0.0000 [2 per cell]
Ac 0.0960 0.2873 0.5000 [8 per cell]
Pb 0.0958 0.3013 0.0000 [8 per cell]
Se 0.0000 0.0000 0.5000 [2 per cell]

Computed total magnetic moment (μB per cell) in order:
0.00 0.00
Computed D(E_F) (states/eV/atom) in order:
0.7239 0.9413
Computed total DFT energy (no corrections) (eV/cell) in order:
-19.41 -92.34